Material: Mg2ZnPt2
Method: DFT, GGA-PBE
State: optimized geometry

Properties
- formation enthalpy at 0 K (eV/atom) = -0.686
- D(E_F) (states/eV/cell) = 5.513
- total DFT energy (no corrections) (eV per atom) = -3.995
- crystal system = monoclinic

Cell: 9.848 5.030 7.455 Å, 90.00 108.44 90.00°
Space group C2/c (No. 15)
Symmetry-distinct sites (fractional):
Mg (0.156, 0.154, 0.154)
Zn (0.000, 0.308, 0.750)
Pt (0.127, 0.349, 0.504)

Material: Pm3Dy2Rh2
Method: DFT, GGA-PBE
State: optimized geometry

Properties
- formation enthalpy at 0 K (eV/atom) = -0.511
- D(E_F) (states/eV/cell) = 12.474
- total DFT energy (no corrections) (eV per atom) = -5.962
- crystal system = monoclinic

Cell: 12.211 3.878 8.989 Å, 90.00 115.57 90.00°
Space group C2/m (No. 12)
Symmetry-distinct sites (fractional):
Pm (0.000, 0.000, 0.000)
Pm (0.114, 0.000, 0.427)
Dy (0.170, 0.500, 0.812)
Rh (0.184, 0.500, 0.241)

Material: ZrAsW3
Method: DFT, GGA-PBE
State: optimized geometry

Properties
- energy relative to the lowest polymorph listed for this composition (meV/atom) = 1521
- formation enthalpy at 0 K (eV/atom) = 2.628
- D(E_F) (states/eV/cell) = 5.080
- total DFT energy (no corrections) (eV per atom) = -7.784
- crystal system = cubic

Cell: 4.846 4.846 4.846 Å, 90.00 90.00 90.00°
Space group Pm-3m (No. 221)
Symmetry-distinct sites (fractional):
Zr (0.000, 0.000, 0.000)
As (0.500, 0.500, 0.500)
W (0.000, 0.000, 0.500)

Material: Cs2PaBiTe5
Method: DFT, GGA-PBE
State: optimized geometry

Properties
- E_form (uncorrected) (kJ/mol of atoms) = -71.8
- total DFT energy (no corrections) (eV per atom) = -4.165
- crystal system = orthorhombic

Cell: 4.772 21.767 16.587 Å, 90.00 90.00 90.00°
Space group Cmc2_1 (No. 36)
Symmetry-distinct sites (fractional):
Cs (0.000, 0.110, 0.000)
Cs (0.000, 0.134, 0.648)
Pa (0.000, 0.203, 0.364)
Bi (0.000, 0.447, 0.765)
Te (0.000, 0.065, 0.390)
Te (0.000, 0.290, 0.978)
Te (0.000, 0.311, 0.741)
Te (0.000, 0.332, 0.329)
Te (0.000, 0.500, 0.108)

| no. | ρ (g cm⁻³) |
| --- | --- |
| 1 | 9.56 |
| 2 | 8.35 |
| 3 | 10.47 |
| 4 | 5.18 |